3
Lattice="2.992 -3.673 2.758 -2.169 -2.637 4.289 -1.184 -5.339 -0.378" Properties=species:S:1:pos:R:3 comment="CsThPa | OQMD via LeMat-Bulk | PBE-GGA | optimized geometry" de_polymorph_mev_per_atom=0 total_energy_ev_per_fu=-12.181 sg=F-43m magnetic_moment_mub_per_fu=0.04 pbc="T T T"
Cs -0.090 -2.912 1.667
Pa 0.000 0.000 0.000
Th -0.271 -8.737 5.002